Entry 1:
This record from Alexandria via LeMat-Bulk describes a relaxed structure of Sr2LiY. The functional is GGA-PBE.

a = 9.307 Å, b = 9.307 Å, c = 7.506 Å
α = 51.68°, β = 51.68°, γ = 90.00°
Fractional positions:
Y 0.000 0.000 0.000
Li 0.500 0.500 0.000
Y 0.750 0.250 0.500
Sr 0.578 0.125 0.250
Sr 0.375 0.422 0.750
Sr 0.172 0.625 0.250
Sr 0.875 0.828 0.750
Li 0.250 0.750 0.500

The formation energy is 376 meV per atom. The value obtained for the energy above the lowest structure with this stoichiometry is 0.239 eV/atom. Its theoretical density is 2.9 Mg/m³.

Entry 2:
This record from Alexandria via LeMat-Bulk describes a relaxed structure of YScAl2Sn. The functional is GGA-PBE.

a = 5.291 Å, b = 5.543 Å, c = 5.291 Å
α = 90.00°, β = 90.00°, γ = 90.00°
Fractional positions:
Al 0.500 0.000 0.000
Sc 0.500 0.500 0.500
Sn 0.000 0.500 0.000
Y 0.000 0.000 0.000
Al 0.000 0.000 0.500

The formation energy is 769 meV per atom. Its theoretical density is 3.3 Mg/m³.

Entry 3:
This record from Alexandria via LeMat-Bulk describes a relaxed structure of Tb3Pm2Cd6. The functional is GGA-PBE.

a = 5.012 Å, b = 5.012 Å, c = 14.476 Å
α = 99.97°, β = 99.97°, γ = 90.00°
Fractional positions:
Cd 0.936 0.436 0.872
Cd 0.564 0.064 0.128
Cd 0.751 0.751 0.503
Tb 0.135 0.135 0.269
Tb 0.865 0.865 0.731
Cd 0.249 0.249 0.497
Pm 0.364 0.364 0.729
Cd 0.064 0.564 0.128
Cd 0.436 0.936 0.872
Tb 0.000 0.000 0.000
Pm 0.636 0.636 0.271

The formation energy is 91 meV per atom. Its theoretical density is 6.8 Mg/m³.

Number 1: N(E_F) 7.304 states/eV/f.u.. Number 2: N(E_F) 2.015 states/eV/f.u.. Number 3: N(E_F) 10.117 states/eV/f.u..